Entry 1:
Entry from Alexandria: a relaxed structure of LiPmGd2 (GGA-PBE).

Calculated values
VASP energy = -8.64 eV per atom
Space group = P4/mmm (123)
DFT formation energy = 1.5 kcal/mol of atoms
D(E_F) = 1.36 states/eV/atom

abc: 3.654 3.654 8.886
angles: 90.00 90.00 90.00
Each line ends with the local moment (μB).
Fractional positions:
Gd 0.000 0.000 0.220  7.21
Gd 0.000 0.000 0.780  7.21
Pm 0.500 0.500 0.500  0.00
Li 0.500 0.500 0.000  0.01


Entry 2:
Entry from Alexandria: a relaxed structure of LiPmGd2 (GGA-PBE).

Calculated values
VASP energy = -8.53 eV per atom
Space group = R-3m (166)
DFT formation energy = 4.1 kcal/mol of atoms
D(E_F) = 1.14 states/eV/atom

abc: 3.501 3.501 12.386
angles: 81.87 81.87 60.00
Each line ends with the local moment (μB).
Fractional positions:
Li 0.000 0.000 0.000  0.01
Gd 0.912 0.912 0.264  7.26
Gd 0.088 0.088 0.736  7.26
Pm 0.500 0.500 0.500  -0.05


Entry 3:
Entry from Alexandria: a relaxed structure of LiPmPrGd (GGA-PBE).

Calculated values
VASP energy = -6.22 eV per atom
Space group = F-43m (216)
DFT formation energy = 3.8 kcal/mol of atoms
D(E_F) = 1.33 states/eV/atom

abc: 5.605 5.605 5.605
angles: 60.00 60.00 60.00
Each line ends with the local moment (μB).
Fractional positions:
Pr 0.250 0.250 0.250  0.01
Gd 0.500 0.500 0.500  7.18
Pm 0.750 0.750 0.750  0.01
Li 0.000 0.000 0.000  -0.01


Entry 4:
Entry from Alexandria: a relaxed structure of LiPmGdPt (GGA-PBE).

Calculated values
VASP energy = -7.28 eV per atom
Space group = F-43m (216)
DFT formation energy = -13.5 kcal/mol of atoms
D(E_F) = 0.93 states/eV/atom

abc: 5.076 5.076 5.076
angles: 60.00 60.00 60.00
Each line ends with the local moment (μB).
Fractional positions:
Gd 0.000 0.000 0.000  7.01
Pm 0.500 0.500 0.500  0.01
Li 0.750 0.750 0.750  0.01
Pt 0.250 0.250 0.250  -0.02


Entry 5:
Entry from Alexandria: a relaxed structure of LiPmGdSc (GGA-PBE).

Calculated values
VASP energy = -6.62 eV per atom
Space group = F-43m (216)
DFT formation energy = 3.3 kcal/mol of atoms
D(E_F) = 1.09 states/eV/atom

abc: 5.401 5.401 5.401
angles: 60.00 60.00 60.00
Each line ends with the local moment (μB).
Fractional positions:
Gd 0.750 0.750 0.750  7.10
Sc 0.500 0.500 0.500  -0.05
Pm 0.250 0.250 0.250  -0.03
Li 0.000 0.000 0.000  0.00


Entry 6:
Entry from Alexandria: a relaxed structure of LiPmSmGd (GGA-PBE).

Calculated values
VASP energy = -6.19 eV per atom
Space group = F-43m (216)
DFT formation energy = 4.0 kcal/mol of atoms
D(E_F) = 1.31 states/eV/atom

abc: 5.568 5.568 5.568
angles: 60.00 60.00 60.00
Each line ends with the local moment (μB).
Fractional positions:
Gd 0.500 0.500 0.500  7.16
Pm 0.750 0.750 0.750  0.00
Sm 0.250 0.250 0.250  0.00
Li 0.000 0.000 0.000  -0.01


Entry 7:
Entry from Alexandria: a relaxed structure of LiTbPmGd (GGA-PBE).

Calculated values
VASP energy = -6.16 eV per atom
Space group = F-43m (216)
DFT formation energy = 4.2 kcal/mol of atoms
D(E_F) = 1.28 states/eV/atom

abc: 5.540 5.540 5.540
angles: 60.00 60.00 60.00
Each line ends with the local moment (μB).
Fractional positions:
Gd 0.000 0.000 0.000  7.15
Pm 0.250 0.250 0.250  -0.01
Li 0.500 0.500 0.500  -0.01
Tb 0.750 0.750 0.750  -0.01


Entry 8:
Entry from Alexandria: a relaxed structure of LiPmGdTl (GGA-PBE).

Calculated values
VASP energy = -5.99 eV per atom
Space group = F-43m (216)
DFT formation energy = -4.9 kcal/mol of atoms
D(E_F) = 1.07 states/eV/atom

abc: 5.375 5.375 5.375
angles: 60.00 60.00 60.00
Each line ends with the local moment (μB).
Fractional positions:
Tl 0.500 0.500 0.500  -0.01
Pm 0.750 0.750 0.750  0.17
Gd 0.250 0.250 0.250  7.24
Li 0.000 0.000 0.000  0.01


Entry 9:
Entry from Alexandria: a relaxed structure of LiPmGdTm (GGA-PBE).

Calculated values
VASP energy = -6.15 eV per atom
Space group = F-43m (216)
DFT formation energy = 3.5 kcal/mol of atoms
D(E_F) = 1.04 states/eV/atom

abc: 5.506 5.506 5.506
angles: 60.00 60.00 60.00
Each line ends with the local moment (μB).
Fractional positions:
Pm 0.750 0.750 0.750  -0.01
Li 0.000 0.000 0.000  0.00
Tm 0.500 0.500 0.500  0.00
Gd 0.250 0.250 0.250  7.11


Entry 10:
Entry from Alexandria: a relaxed structure of LiPmGdY (GGA-PBE).

Calculated values
VASP energy = -6.62 eV per atom
Space group = F-43m (216)
DFT formation energy = 4.1 kcal/mol of atoms
D(E_F) = 1.31 states/eV/atom

abc: 5.546 5.546 5.546
angles: 60.00 60.00 60.00
Each line ends with the local moment (μB).
Fractional positions:
Y 0.750 0.750 0.750  0.00
Li 0.000 0.000 0.000  -0.01
Gd 0.500 0.500 0.500  7.16
Pm 0.250 0.250 0.250  0.00


Entry 11:
Entry from Alexandria: a relaxed structure of LiPmGdZn (GGA-PBE).

Calculated values
VASP energy = -5.63 eV per atom
Space group = F-43m (216)
DFT formation energy = -2.9 kcal/mol of atoms
D(E_F) = 0.85 states/eV/atom

abc: 5.194 5.194 5.194
angles: 60.00 60.00 60.00
Each line ends with the local moment (μB).
Fractional positions:
Li 0.500 0.500 0.500  0.01
Gd 0.250 0.250 0.250  7.22
Pm 0.750 0.750 0.750  0.16
Zn 0.000 0.000 0.000  0.00


Entry 12:
Entry from Alexandria: a relaxed structure of Li2PrGd (GGA-PBE).

Calculated values
VASP energy = -5.54 eV per atom
Space group = P4/mmm (123)
DFT formation energy = 3.0 kcal/mol of atoms
D(E_F) = 1.36 states/eV/atom

abc: 3.741 5.384 5.384
angles: 90.00 90.00 90.00
Each line ends with the local moment (μB).
Fractional positions:
Li 0.000 0.500 0.000  0.02
Li 0.000 0.000 0.500  0.02
Pr 0.500 0.000 0.000  0.12
Gd 0.500 0.500 0.500  7.35


Entry 13:
Entry from Alexandria: a relaxed structure of Li2PrGd (GGA-PBE).

Calculated values
VASP energy = -5.55 eV per atom
Space group = Fm-3m (225)
DFT formation energy = 2.9 kcal/mol of atoms
D(E_F) = 1.19 states/eV/atom

abc: 5.351 5.351 5.351
angles: 60.00 60.00 60.00
Each line ends with the local moment (μB).
Fractional positions:
Pr 0.500 0.500 0.500  0.17
Li 0.250 0.250 0.250  0.01
Li 0.750 0.750 0.750  0.01
Gd 0.000 0.000 0.000  7.31


Entry 14:
Entry from Alexandria: a relaxed structure of LiPrGdRh (GGA-PBE).

Calculated values
VASP energy = -7.40 eV per atom
Space group = F-43m (216)
DFT formation energy = -8.6 kcal/mol of atoms
D(E_F) = 0.73 states/eV/atom

abc: 5.064 5.064 5.064
angles: 60.00 60.00 60.00
Each line ends with the local moment (μB).
Fractional positions:
Gd 0.500 0.500 0.500  7.04
Li 0.250 0.250 0.250  0.00
Rh 0.750 0.750 0.750  -0.08
Pr 0.000 0.000 0.000  0.01


Entry 15:
Entry from Alexandria: a relaxed structure of LiPrGdRu (GGA-PBE).

Calculated values
VASP energy = -7.68 eV per atom
Space group = F-43m (216)
DFT formation energy = -3.9 kcal/mol of atoms
D(E_F) = 0.65 states/eV/atom

abc: 5.034 5.034 5.034
angles: 60.00 60.00 60.00
Each line ends with the local moment (μB).
Fractional positions:
Li 0.250 0.250 0.250  0.01
Pr 0.000 0.000 0.000  0.01
Ru 0.750 0.750 0.750  -0.13
Gd 0.500 0.500 0.500  7.07


Entry 16:
Entry from Alexandria: a relaxed structure of LiPrGdSi (GGA-PBE).

Calculated values
VASP energy = -6.89 eV per atom
Space group = F-43m (216)
Formation energy (no corrections) = -0.34 eV/atom
D(E_F) = 1.00 states/eV/atom

abc: 5.106 5.106 5.106
angles: 60.00 60.00 60.00
Each line ends with the local moment (μB).
Fractional positions:
Li 0.250 0.250 0.250  0.01
Gd 0.500 0.500 0.500  7.13
Pr 0.000 0.000 0.000  0.05
Si 0.750 0.750 0.750  -0.04